[1]
First-principles (PBE) data for a relaxed K2CdI4 crystal, as listed in Alexandria via LeMat-Bulk.

abc: 6.043 6.043 9.745
angles: 71.94 71.94 90.00
Fractional coordinates of all 7 atoms:
I  0.168  0.168  0.664
I  0.832  0.832  0.336
I  0.000  0.500  0.000
I  0.500  0.000  0.000
K  0.368  0.368  0.265
K  0.632  0.632  0.735
Cd  0.000  0.000  0.000

Summary:
E_form (uncorrected): -1.028 eV per atom
Total magnetization: 0.00 μB per cell
ΔE to the lowest computed polymorph: 0.073 eV per atom
Symmetry: I4/mmm (139)


[2]
First-principles (PBE) data for a relaxed Er5HgBi5 crystal, as listed in Alexandria via LeMat-Bulk.

abc: 6.204 7.389 9.115
angles: 107.14 90.00 114.82
Each line ends with the local moment (μB).
Fractional coordinates of all 11 atoms:
Er  0.820  0.641  0.175  0.00
Er  0.827  0.654  0.654  0.01
Er  0.500  0.000  0.000  0.10
Er  0.173  0.346  0.346  0.01
Er  0.180  0.359  0.825  0.00
Hg  0.000  0.000  0.000  0.03
Bi  0.644  0.289  0.340  0.00
Bi  0.664  0.328  0.826  0.00
Bi  0.000  0.000  0.500  -0.01
Bi  0.336  0.672  0.174  0.00
Bi  0.356  0.711  0.660  0.00

Summary:
ΔE_f: -5.2 eV per formula unit
Total magnetization: 0.23 μB per cell
Symmetry: C2/m (12)


[3]
First-principles (PBE) data for a relaxed MgSnRhO6 crystal, as listed in Alexandria via LeMat-Bulk.

abc: 5.263 5.263 8.803
angles: 90.00 90.00 120.00
Each line ends with the local moment (μB).
Fractional coordinates of all 18 atoms:
Mg  0.000  0.000  0.000  0.00
Mg  0.000  0.000  0.500  0.00
Sn  0.333  0.667  0.250  0.00
Sn  0.667  0.333  0.750  0.00
Rh  0.667  0.333  0.250  0.47
Rh  0.333  0.667  0.750  0.47
O  0.661  0.644  0.128  0.10
O  0.982  0.339  0.128  0.10
O  0.339  0.982  0.628  0.10
O  0.018  0.661  0.872  0.10
O  0.356  0.339  0.372  0.10
O  0.982  0.644  0.372  0.10
O  0.644  0.982  0.872  0.10
O  0.661  0.018  0.372  0.10
O  0.018  0.356  0.628  0.10
O  0.356  0.018  0.128  0.10
O  0.644  0.661  0.628  0.10
O  0.339  0.356  0.872  0.10

Summary:
E_form (uncorrected): -1.226 eV per atom
Total magnetization: 2.37 μB per cell
Symmetry: P-31c (163)


[4]
First-principles (PBE) data for a relaxed CrFe2Pb crystal, as listed in Alexandria via LeMat-Bulk.

abc: 5.067 5.067 5.067
angles: 142.88 129.34 64.45
Each line ends with the local moment (μB).
Fractional coordinates of all 4 atoms:
Cr  0.250  0.750  0.500  1.46
Fe  0.015  0.015  0.000  2.51
Fe  0.485  0.485  0.000  2.51
Pb  0.750  0.250  0.500  -0.07

Summary:
ΔE_f: 2.4 eV per formula unit
Total magnetization: 6.39 μB per cell
Symmetry: Immm (71)


[5]
First-principles (PBE) data for a relaxed LiMg8Ag2 crystal, as listed in Alexandria via LeMat-Bulk.

abc: 4.835 7.465 7.540
angles: 117.57 108.70 90.00
Fractional coordinates of all 11 atoms:
Li  0.500  0.000  0.000
Mg  0.602  0.459  0.205
Mg  0.321  0.074  0.642
Mg  0.144  0.202  0.288
Mg  0.049  0.728  0.098
Mg  0.856  0.798  0.712
Mg  0.679  0.926  0.358
Mg  0.398  0.541  0.795
Mg  0.951  0.272  0.902
Ag  0.224  0.644  0.448
Ag  0.776  0.356  0.552

Summary:
ΔE_f: -1.1 eV per formula unit
Total magnetization: 0.00 μB per cell
ΔE to the lowest computed polymorph: 0.000 eV per atom
Symmetry: C2/m (12)


[6]
First-principles (PBE) data for a relaxed MnTlBiPt2 crystal, as listed in Alexandria via LeMat-Bulk.

abc: 5.049 5.712 5.049
angles: 90.00 90.00 90.00
Each line ends with the local moment (μB).
Fractional coordinates of all 5 atoms:
Tl  0.000  0.500  0.000  -0.01
Mn  0.500  0.500  0.500  4.47
Bi  0.000  0.000  0.000  0.00
Pt  0.000  0.000  0.500  0.06
Pt  0.500  0.000  0.000  0.02

Summary:
ΔE_f: 5.5 eV per formula unit
Total magnetization: 4.91 μB per cell
Symmetry: P4/mmm (123)


Which value of total magnetization does entry 5 give?
0.00 μB per cell